1.
KBeV2Au, relaxed, DFT PBE; energy of formation = 2.56 eV/atom; N(E_F) = 3.25 states/eV/cell
1.0
4.2539 0.0000 0.0000
0.0000 5.1837 0.0000
0.0000 0.0000 4.2539
Be Au V K
1 1 2 1
direct
0.5000 0.5000 0.5000
0.0000 0.5000 0.0000
0.0000 0.0000 0.5000
0.5000 0.0000 0.0000
0.0000 0.0000 0.0000

***

2.
LiAcPaTc, relaxed, DFT PBE; energy of formation = 0.32 eV/atom; N(E_F) = 7.31 states/eV/cell
1.0
-0.4712 4.6204 -2.1381
-0.4160 0.4371 -5.0771
-4.4491 1.4087 -2.0886
Ac Pa Tc Li
1 1 1 1
direct
0.2500 0.2500 0.2500
0.7500 0.7500 0.7500
0.5000 0.5000 0.5000
0.0000 0.0000 0.0000

***

3.
Na2UO4, relaxed, DFT PBE; ΔE_f (raw) = -2.5673 eV/atom; N(E_F) = 0.00 states/eV/cell
1.0
6.6891 0.0002 0.0000
3.8610 5.4623 0.0000
-5.2750 -2.7312 3.0754
Na O U
2 4 1
direct
0.6472 0.6472 0.0000
0.3528 0.3528 0.0000
0.8375 0.8375 0.0000
0.5000 0.0000 0.5000
0.0000 0.5000 0.5000
0.1625 0.1625 0.0000
0.0000 0.0000 0.0000

***

4.
LiZrPd2, relaxed, DFT PBE; energy of formation = 0.02 eV/atom; N(E_F) = 2.49 states/eV/cell
1.0
4.7304 -1.4221 -2.7013
-1.1489 4.8040 2.7013
-3.2699 -0.1245 4.5812
Zr Pd Li
1 2 1
direct
0.0000 0.5000 0.5000
0.0000 0.7696 0.7696
0.0000 0.2304 0.2304
0.0000 0.0000 0.0000

***

5.
GaPHPtS, relaxed, DFT PBE; VASP energy = -4.630 eV per atom; N(E_F) = 3.71 states/eV/cell
1.0
3.7358 0.0000 -0.0099
0.0000 3.4914 0.0000
-0.1814 0.0000 12.5522
S H Ga P Pt
2 2 2 2 2
direct
0.7711 0.5000 0.0459
0.7711 0.0000 0.5459
0.2068 0.0000 0.7164
0.2068 0.5000 0.2164
0.7022 0.5000 0.6575
0.7022 0.0000 0.1575
0.2114 0.5000 0.3302
0.2114 0.0000 0.8302
0.7126 0.0000 0.3491
0.7126 0.5000 0.8491

***

6.
RhSe2O, relaxed, DFT PBE; ΔE_f (raw) = 0.0742 eV/atom; N(E_F) = 3.59 states/eV/cell
1.0
5.2428 0.0000 0.0000
0.0000 5.2428 0.0000
2.6214 2.6214 5.6221
Se O Rh
4 2 2
direct
0.6080 0.1250 0.2500
0.1420 0.6250 0.2500
0.8750 0.8580 0.7500
0.3750 0.3920 0.7500
0.5000 0.5000 0.0000
0.2500 0.7500 0.5000
0.0000 0.0000 0.0000
0.7500 0.2500 0.5000

***

7.
Sr2MgCr, relaxed, DFT PBE; energy of formation = 0.65 eV/atom; N(E_F) = 8.76 states/eV/cell
1.0
9.1195 0.0000 0.0000
0.0000 9.1195 0.0000
4.5598 4.5598 3.5354
Cr Mg Sr
2 2 4
direct
0.7500 0.2500 0.5000
0.0000 0.0000 0.0000
0.2500 0.7500 0.5000
0.5000 0.5000 0.0000
0.3750 0.3547 0.7500
0.8750 0.8953 0.7500
0.1047 0.6250 0.2500
0.6453 0.1250 0.2500

***

8.
Pm2NdTm, relaxed, DFT PBE; energy of formation = 0.02 eV/atom; N(E_F) = 5.89 states/eV/cell
1.0
3.6295 0.0000 0.0000
1.8147 3.1432 0.0000
1.8147 1.0477 11.7565
Pm Nd Tm
2 1 1
direct
0.0813 0.0813 0.7560
0.2520 0.2520 0.2439
0.4998 0.4998 0.5005
0.6668 0.6668 0.9996